First-principles (PBE with a Hubbard U) data for a geometry-optimized Si2NiO6 structure, as listed in Alexandria via LeMat-Bulk.

DFT total energy = -6.620 eV per atom
volume = 207 Å³/cell
M_tot = 0.012 μB per cell

a b c (Å): 6.462 6.462 5.334
angles (deg): 74.87 74.87 83.64
Each line ends with the local moment (μB).
Element x y z (fractional)
1 Si 0.116 0.290 0.245  0.01
2 Si 0.710 0.884 0.255  0.01
3 Si 0.290 0.116 0.745  0.01
4 Si 0.884 0.710 0.755  0.01
5 O 0.531 0.694 0.362  -0.20
6 O 0.583 0.119 0.220  -0.32
7 O 0.881 0.417 0.280  -0.32
8 O 0.146 0.137 0.038  -0.06
9 O 0.137 0.146 0.538  -0.06
10 O 0.417 0.881 0.780  -0.32
11 O 0.469 0.306 0.638  -0.20
12 O 0.306 0.469 0.138  -0.20
13 O 0.119 0.583 0.720  -0.32
14 O 0.694 0.531 0.862  -0.20
15 O 0.863 0.854 0.462  -0.06
16 O 0.854 0.863 0.962  -0.06
17 Ni 0.411 0.589 0.750  1.36
18 Ni 0.589 0.411 0.250  1.36